Fe7O8: optimized geometry, GGA+U.

## Properties
- DFT total energy (eV per atom) = -6.444

Unit cell a=6.0403 b=6.0403 c=6.0403 alpha=60.00 beta=60.00 gamma=60.00
Closest atoms and distances in Å follow each position.
Atoms (fractional coordinates):
Fe1 0.5000 0.0000 0.0000  6 O 2.14
Fe2 0.0000 0.5000 0.0000  6 O 2.14
Fe3 0.5000 0.0000 0.5000  6 O 2.14
Fe4 0.5000 0.5000 0.0000  6 O 2.14
Fe5 0.0000 0.5000 0.5000  6 O 2.14
Fe6 0.5000 0.5000 0.5000  6 O 2.05
Fe7 0.0000 0.0000 0.5000  6 O 2.14
O1 0.2500 0.2500 0.2500  6 Fe 2.14
O2 0.7401 0.2599 0.2599  5 Fe 2.05-2.14
O3 0.2599 0.2599 0.7401  5 Fe 2.05-2.14
O4 0.2599 0.7401 0.2599  5 Fe 2.05-2.14
O5 0.7401 0.2599 0.7401  5 Fe 2.05-2.14
O6 0.7401 0.7401 0.2599  5 Fe 2.05-2.14
O7 0.2599 0.7401 0.7401  5 Fe 2.05-2.14
O8 0.7500 0.7500 0.7500  6 Fe 2.14